Entry 1:
Pr5SmTh2: relaxed, PBE.

The space group is Immm (No. 71) and the conventional cell measures 3.591, 11.520 and 13.588 Å, with angles of 90.00, 90.00 and 90.00 degrees. The distinct sites, in fractional coordinates, are Pr at (0.000, 0.000, 0.000), Pr at (0.000, 0.263, 0.369), Sm at (0.000, 0.500, 0.000) and Th at (0.000, 0.000, 0.258).

The total moment is 0.00 Bohr magnetons per cell. The volume is 35.13 Å³ per atom. The value obtained for the formation enthalpy at 0 K is 0.109 eV/atom.

***

Entry 2:
Pr8SmTh2: relaxed, PBE.

The space group is Immm (No. 71) and the conventional cell measures 5.790, 8.388 and 16.231 Å, with angles of 90.00, 90.00 and 90.00 degrees. The distinct sites, in fractional coordinates, are Pr at (0.000, 0.000, 0.160), Pr at (0.000, 0.205, 0.362), Pr at (0.000, 0.296, 0.000), Sm at (0.000, 0.500, 0.500) and Th at (0.000, 0.500, 0.200).

The total moment is 0.00 Bohr magnetons per cell. The volume is 35.83 Å³ per atom. The value obtained for the formation enthalpy at 0 K is 0.153 eV/atom.

***

Entry 3:
Pr4Sm5Th: relaxed, PBE.

The space group is C2/m (No. 12) and the conventional cell measures 26.187, 3.666 and 7.298 Å, with angles of 90.00, 97.92 and 90.00 degrees. The distinct sites, in fractional coordinates, are Pr at (0.097, 0.000, 0.294), Pr at (0.201, 0.500, 0.101), Sm at (0.000, 0.500, 0.500), Sm at (0.097, 0.000, 0.804), Sm at (0.200, 0.500, 0.600) and Th at (0.000, 0.500, 0.000).

The total moment is 0.00 Bohr magnetons per cell. As for the excess energy over the best structure of this formula in the dataset: 0.0052 eV/atom. The volume is 34.70 Å³ per atom. The value obtained for the formation enthalpy at 0 K is 0.027 eV/atom.

***

Entry 4:
PrSmTh: relaxed, PBE.

The space group is P6_3mc (No. 186) and the conventional cell measures 3.5670, 3.5670 and 18.7082 Å, with angles of 90.00, 90.00 and 120.00 degrees. The distinct sites, in fractional coordinates, are Pr at (0.3333, 0.6667, 0.0000), Sm at (0.0000, 0.0000, 0.1612) and Th at (0.3333, 0.6667, 0.8179).

The total moment is 0.00 Bohr magnetons per cell. As for the excess energy over the best structure of this formula in the dataset: 0.1244 eV/atom. The volume is 34.36 Å³ per atom. The value obtained for the formation enthalpy at 0 K is 0.147 eV/atom.